Run P
# Ba2HPdRh, optimized geometry, DFT GGA-PBE
# Total magnetic moment = 0.00 μB/f.u.
data_Ba2HPdRh
_cell_length_a 5.7076
_cell_length_b 5.7076
_cell_length_c 3.6129
_cell_angle_alpha 90.00
_cell_angle_beta 90.00
_cell_angle_gamma 90.00
_symmetry_space_group_name_H-M 'P 4/m m m'
_symmetry_Int_Tables_number 123
_symmetry_space_group_name_Hall '-P 4 2'
loop_
_atom_site_label
_atom_site_type_symbol
_atom_site_fract_x
_atom_site_fract_y
_atom_site_fract_z
Ba1 Ba 0.0000 0.5000 0.0000
H1 H 0.0000 0.0000 0.0000
Pd1 Pd 0.5000 0.5000 0.5000
Rh1 Rh 0.0000 0.0000 0.5000

=====

Run Q
# Ba2HPdRh, optimized geometry, DFT GGA-PBE
# Total magnetic moment = 0.00 μB/f.u.
data_Ba2HPdRh
_cell_length_a 5.6640
_cell_length_b 5.6640
_cell_length_c 3.6647
_cell_angle_alpha 90.00
_cell_angle_beta 90.00
_cell_angle_gamma 90.00
_symmetry_space_group_name_H-M 'P 4/m m m'
_symmetry_Int_Tables_number 123
_symmetry_space_group_name_Hall '-P 4 2'
loop_
_atom_site_label
_atom_site_type_symbol
_atom_site_fract_x
_atom_site_fract_y
_atom_site_fract_z
Ba1 Ba 0.0000 0.5000 0.0000
H1 H 0.0000 0.0000 0.0000
Pd1 Pd 0.0000 0.0000 0.5000
Rh1 Rh 0.5000 0.5000 0.5000

=====

Which one is most stable, and which one is least stable? run P is the most stable of them, while run Q is the least stable.

=====

Run P
# BaHPt3, optimized geometry, DFT GGA-PBE
# Total magnetic moment = 0.98 μB/f.u.
data_BaHPt3
_cell_length_a 5.5079
_cell_length_b 5.5079
_cell_length_c 5.5079
_cell_angle_alpha 90.00
_cell_angle_beta 90.00
_cell_angle_gamma 90.00
_symmetry_space_group_name_H-M 'P m -3 m'
_symmetry_Int_Tables_number 221
_symmetry_space_group_name_Hall '-P 4 2 3'
loop_
_atom_site_label
_atom_site_type_symbol
_atom_site_fract_x
_atom_site_fract_y
_atom_site_fract_z
Ba1 Ba 0.0000 0.0000 0.0000
H1 H 0.5000 0.5000 0.5000
Pt1 Pt 0.0000 0.0000 0.5000

=====

Run Q
# BaHPt3, optimized geometry, DFT GGA-PBE
# Total magnetic moment = 0.00 μB/f.u.
data_BaHPt3
_cell_length_a 4.3821
_cell_length_b 4.3821
_cell_length_c 4.3821
_cell_angle_alpha 90.00
_cell_angle_beta 90.00
_cell_angle_gamma 90.00
_symmetry_space_group_name_H-M 'P m -3 m'
_symmetry_Int_Tables_number 221
_symmetry_space_group_name_Hall '-P 4 2 3'
loop_
_atom_site_label
_atom_site_type_symbol
_atom_site_fract_x
_atom_site_fract_y
_atom_site_fract_z
Ba1 Ba 0.0000 0.0000 0.0000
H1 H 0.5000 0.5000 0.5000
Pt1 Pt 0.0000 0.5000 0.5000

=====

Which one is most stable, and which one is least stable? run Q is the most stable of them, while run P is the least stable.

=====

Run P
# BaH2Pt, optimized geometry, DFT GGA-PBE
# Total magnetic moment = 0.00 μB/f.u.
data_BaH2Pt
_cell_length_a 6.4167
_cell_length_b 6.4167
_cell_length_c 6.4167
_cell_angle_alpha 90.00
_cell_angle_beta 90.00
_cell_angle_gamma 90.00
_symmetry_space_group_name_H-M 'F m -3 m'
_symmetry_Int_Tables_number 225
_symmetry_space_group_name_Hall '-F 4 2 3'
loop_
_atom_site_label
_atom_site_type_symbol
_atom_site_fract_x
_atom_site_fract_y
_atom_site_fract_z
Ba1 Ba 0.0000 0.0000 0.0000
H1 H 0.2500 0.2500 0.2500
Pt1 Pt 0.0000 0.0000 0.5000

=====

Run Q
# BaH2Pt, optimized geometry, DFT GGA-PBE
# Total magnetic moment = 0.00 μB/f.u.
data_BaH2Pt
_cell_length_a 4.7142
_cell_length_b 4.7142
_cell_length_c 12.0983
_cell_angle_alpha 90.00
_cell_angle_beta 90.00
_cell_angle_gamma 120.00
_symmetry_space_group_name_H-M 'R -3 m'
_symmetry_Int_Tables_number 166
_symmetry_space_group_name_Hall '-R 3 2"'
loop_
_atom_site_label
_atom_site_type_symbol
_atom_site_fract_x
_atom_site_fract_y
_atom_site_fract_z
Ba1 Ba 0.0000 0.0000 0.0000
H1 H 0.0000 0.0000 0.3625
Pt1 Pt 0.0000 0.0000 0.5000

=====

Run R
# BaH2Pt, optimized geometry, DFT GGA-PBE
# Total magnetic moment = 0.00 μB/f.u.
data_BaH2Pt
_cell_length_a 13.5678
_cell_length_b 4.6883
_cell_length_c 4.8249
_cell_angle_alpha 90.00
_cell_angle_beta 90.00
_cell_angle_gamma 90.00
_symmetry_space_group_name_H-M 'P n m a'
_symmetry_Int_Tables_number 62
_symmetry_space_group_name_Hall '-P 2ac 2n'
loop_
_atom_site_label
_atom_site_type_symbol
_atom_site_fract_x
_atom_site_fract_y
_atom_site_fract_z
Ba1 Ba 0.1231 0.2500 0.2448
H1 H 0.0542 0.7500 0.4852
H2 H 0.2031 0.7500 0.0347
Pt1 Pt 0.1281 0.7500 0.7600

=====

Which one is most stable, and which one is least stable? run R is the most stable of them, while run P is the least stable.